No. 1
Computed, not measured: a crystal of TePPb2 relaxed with PBEsol at the meta-GGA SCAN level of DFT.

Cell: 5.2470 5.2470 5.2470 Å, 60.00 60.00 60.00°
Last column: nearest neighbours and their distance in Å.
Element x y z (fractional)
P1 0.5000 0.5000 0.5000  4 Pb 3.21, 4 Te 3.21
Pb1 0.0000 0.0000 0.0000  4 Te 3.21, 4 Pb 3.21
Pb2 0.2500 0.2500 0.2500  4 Pb 3.21, 4 P 3.21
Te1 0.7500 0.7500 0.7500  4 Pb 3.21, 4 P 3.21

Results
Energy relative to the lowest polymorph listed for this composition in meV/atom: 409
Energy relative to the elements, uncorrected in kJ/mol of atoms: 41.5
Final energy in eV per atom: -49.373

No. 2
Computed, not measured: a crystal of Te2PPb relaxed with PBEsol at the meta-GGA SCAN level of DFT.

Cell: 3.9460 5.4720 5.4877 Å, 112.69 90.00 90.00°
Last column: nearest neighbours and their distance in Å.
Element x y z (fractional)
P1 0.5000 0.0000 0.5000  4 Te 2.81, 2 Pb 3.04
Pb1 0.5000 0.5000 0.0000  2 P 3.04, 4 Te 3.23
Te1 0.0000 0.2190 0.2808  2 P 2.81, 2 Te 3.09
Te2 0.0000 0.7810 0.7192  2 P 2.81, 2 Te 3.09

Results
Energy relative to the lowest polymorph listed for this composition in meV/atom: 83
Energy relative to the elements, uncorrected in kJ/mol of atoms: 12.8
Final energy in eV per atom: -40.038

No. 3
Computed, not measured: a crystal of TePPb relaxed with PBEsol at the meta-GGA SCAN level of DFT.

Cell: 7.1248 7.1905 14.1174 Å, 90.00 90.00 90.00°
Last column: nearest neighbours and their distance in Å.
Element x y z (fractional)
P1 0.5979 0.6940 0.4257  1 Te 2.43
P2 0.9021 0.3060 0.9257  1 Te 2.43
P3 0.4021 0.1940 0.0743  1 Te 2.43
P4 0.0979 0.8060 0.5743  1 Te 2.43
P5 0.4021 0.3060 0.5743  1 Te 2.43
P6 0.0979 0.6940 0.0743  1 Te 2.43
P7 0.5979 0.8060 0.9257  1 Te 2.43
P8 0.9021 0.1940 0.4257  1 Te 2.43
Pb1 0.5378 0.3141 0.3875  3 P 2.79-2.82
Pb2 0.9622 0.6859 0.8875  3 P 2.79-2.82
Pb3 0.4622 0.8141 0.1125  3 P 2.79-2.82
Pb4 0.0378 0.1859 0.6125  3 P 2.79-2.82
Pb5 0.4622 0.6859 0.6125  3 P 2.79-2.82
Pb6 0.0378 0.3141 0.1125  3 P 2.79-2.82
Pb7 0.5378 0.1859 0.8875  3 P 2.79-2.82
Pb8 0.9622 0.8141 0.3875  3 P 2.79-2.82
Te1 0.1025 0.4008 0.3345  1 P 2.43
Te2 0.3975 0.5992 0.8345  1 P 2.43
Te3 0.8975 0.9008 0.1655  1 P 2.43
Te4 0.6025 0.0992 0.6655  1 P 2.43
Te5 0.8975 0.5992 0.6655  1 P 2.43
Te6 0.6025 0.4008 0.1655  1 P 2.43
Te7 0.1025 0.0992 0.8345  1 P 2.43
Te8 0.3975 0.9008 0.3345  1 P 2.43

Results
Energy relative to the lowest polymorph listed for this composition in meV/atom: 0
Energy relative to the elements, uncorrected in kJ/mol of atoms: 6.7
Final energy in eV per atom: -41.075

No. 4
Computed, not measured: a crystal of Te2PPb relaxed with PBEsol at the meta-GGA SCAN level of DFT.

Cell: 3.8167 5.3772 6.0195 Å, 116.53 108.48 90.00°
Last column: nearest neighbours and their distance in Å.
Element x y z (fractional)
P1 0.5000 0.0000 0.0000  4 Te 2.75
Pb1 0.0000 0.5000 0.0000  4 P 3.30, 8 Te 3.34-3.61
Te1 0.8038 0.8038 0.6075  2 P 2.75
Te2 0.1962 0.1962 0.3925  2 P 2.75

Results
Energy relative to the lowest polymorph listed for this composition in meV/atom: 158
Energy relative to the elements, uncorrected in kJ/mol of atoms: 20.0
Final energy in eV per atom: -39.963

No. 5
Computed, not measured: a crystal of TePPb2 relaxed with PBEsol at the meta-GGA SCAN level of DFT.

Cell: 4.2224 4.2237 6.4989 Å, 90.00 91.27 90.00°
Last column: nearest neighbours and their distance in Å.
Element x y z (fractional)
Pb1 0.9905 0.0000 0.8905  4 P 2.96-3.01, 1 Te 3.09
Pb2 0.5109 0.5000 0.3051  1 P 2.71
P1 0.4822 0.5000 0.8883  5 Pb 2.71-3.01
Te1 0.0164 0.0000 0.4162  6 Pb 3.07-3.42

Results
Energy relative to the lowest polymorph listed for this composition in meV/atom: 0
Energy relative to the elements, uncorrected in kJ/mol of atoms: 2.0
Final energy in eV per atom: -49.782

No. 6
Computed, not measured: a crystal of Te2PPb relaxed with PBEsol at the meta-GGA SCAN level of DFT.

Cell: 4.5990 4.3592 6.1498 Å, 95.04 111.96 90.00°
Last column: nearest neighbours and their distance in Å.
Element x y z (fractional)
Pb1 0.7121 0.8125 0.4242  2 P 3.09-3.35, 5 Te 3.17-3.40
P1 0.5041 0.3044 0.0081  3 Te 2.53-2.63
Te1 0.9977 0.0125 0.9953  2 P 2.63
Te2 0.2862 0.3706 0.5724  1 P 2.53

Results
Energy relative to the lowest polymorph listed for this composition in meV/atom: 0
Energy relative to the elements, uncorrected in kJ/mol of atoms: 4.7
Final energy in eV per atom: -40.122

No. 7
Computed, not measured: a crystal of TlP2Pb relaxed with PBEsol at the meta-GGA SCAN level of DFT.

Cell: 3.1883 3.1883 9.2493 Å, 90.00 90.00 90.00°
Last column: nearest neighbours and their distance in Å.
Element x y z (fractional)
P1 0.0000 0.0000 0.1650  4 P 2.36
P2 0.5000 0.5000 0.0910  4 P 2.36
Pb1 0.0000 0.0000 0.4681  1 P 2.80
Tl1 0.5000 0.5000 0.7758  1 P 2.92, 4 Tl 3.19

Results
Energy relative to the lowest polymorph listed for this composition in meV/atom: 0
Final energy in eV per atom: -42.105
Formation energy in eV/atom: 0.129

No. 8
Computed, not measured: a crystal of TlP2Pb relaxed with PBEsol at the meta-GGA SCAN level of DFT.

Cell: 3.4407 5.0090 5.0090 Å, 90.00 90.00 90.00°
Last column: nearest neighbours and their distance in Å.
Element x y z (fractional)
P1 0.0000 0.0000 0.5000  4 Pb 3.04, 4 Tl 3.04
P2 0.0000 0.5000 0.0000  4 Pb 3.04, 4 Tl 3.04
Pb1 0.5000 0.5000 0.5000  8 P 3.04
Tl1 0.5000 0.0000 0.0000  8 P 3.04

Results
Energy relative to the lowest polymorph listed for this composition in meV/atom: 472
Final energy in eV per atom: -41.632
Formation energy in eV/atom: 0.602

No. 9
Computed, not measured: a crystal of Tl2P2Pb relaxed with PBEsol at the meta-GGA SCAN level of DFT.

Cell: 4.3033 4.3033 7.3739 Å, 106.97 106.97 90.00°
Last column: nearest neighbours and their distance in Å.
Element x y z (fractional)
Pb1 0.0000 0.0000 0.0000  8 P 3.23
P1 0.4194 0.4194 0.8388  1 P 2.17
P2 0.5806 0.5806 0.1612  1 P 2.17
Tl1 0.2500 0.7500 0.5000  4 Tl 3.04, 4 P 3.13
Tl2 0.7500 0.2500 0.5000  4 Tl 3.04, 4 P 3.13

Results
Final energy in eV per atom: -48.001
Formation energy in eV/atom: 0.258

No. 10
Computed, not measured: a crystal of TlPPb2 relaxed with PBEsol at the meta-GGA SCAN level of DFT.

Cell: 4.2014 4.9406 4.9406 Å, 90.00 90.00 90.00°
Last column: nearest neighbours and their distance in Å.
Element x y z (fractional)
P1 0.5000 0.0000 0.0000  8 Pb 3.24, 4 Tl 3.49
Pb1 0.0000 0.0000 0.5000  4 Tl 3.24, 4 P 3.24, 4 Pb 3.49
Pb2 0.0000 0.5000 0.0000  4 Tl 3.24, 4 P 3.24, 4 Pb 3.49
Tl1 0.5000 0.5000 0.5000  8 Pb 3.24, 4 P 3.49

Results
Energy relative to the lowest polymorph listed for this composition in meV/atom: 186
Final energy in eV per atom: -58.311
Formation energy in eV/atom: 0.269

No. 11
Computed, not measured: a crystal of Tl4PPb relaxed with PBEsol at the meta-GGA SCAN level of DFT.

Cell: 6.1861 6.1861 6.1861 Å, 60.00 60.00 60.00°
Last column: nearest neighbours and their distance in Å.
Element x y z (fractional)
P1 0.7500 0.7500 0.7500  12 Tl 3.63, 4 Pb 3.79
Pb1 0.0000 0.0000 0.0000  12 Tl 3.63, 4 P 3.79
Tl1 0.3754 0.3754 0.3754  6 Tl 3.08-3.10
Tl2 0.3754 0.3754 0.8739  6 Tl 3.08-3.10
Tl3 0.8739 0.3754 0.3754  6 Tl 3.08-3.10
Tl4 0.3754 0.8739 0.3754  6 Tl 3.08-3.10

Results
Final energy in eV per atom: -62.168
Formation energy in eV/atom: 0.435

No. 12
Computed, not measured: a crystal of TlPPb2 relaxed with PBEsol at the meta-GGA SCAN level of DFT.

Cell: 3.8615 3.8615 8.7817 Å, 77.30 77.30 60.00°
Last column: nearest neighbours and their distance in Å.
Element x y z (fractional)
Pb1 0.2666 0.2666 0.2003  3 P 2.80
Pb2 0.7334 0.7334 0.7997  3 P 2.80
P1 0.0000 0.0000 0.0000  6 Pb 2.80
Tl1 0.5000 0.5000 0.5000  6 Pb 3.38

Results
Energy relative to the lowest polymorph listed for this composition in meV/atom: 0
Final energy in eV per atom: -58.497
Formation energy in eV/atom: 0.083

The following DOS at the Fermi energy values (in states/eV/cell) correspond, in order, to the records above: 2.260, 1.771, 10.106, 1.893, 1.920, 0.894, 1.064, 2.344, 2.399, 1.670, 3.996, 1.796.